1.
Density functional theory data (PBE) for an optimized crystal structure of MgPa3Sn3Os2.

abc: 7.714 7.714 3.867
angles: 90.00 90.00 120.00
Fractional coordinates of all 9 atoms:
Mg (0.000, 0.000, 0.000)
Pa (0.000, 0.409, 0.000)
Pa (0.409, 0.000, 0.000)
Pa (0.591, 0.591, 0.000)
Sn (0.000, 0.731, 0.500)
Sn (0.269, 0.269, 0.500)
Sn (0.731, 0.000, 0.500)
Os (0.333, 0.667, 0.500)
Os (0.667, 0.333, 0.500)

Computed properties:
The final energy is -7.44 eV per atom. The value obtained for the formation energy is -266 meV/atom.


2.
Density functional theory data (PBE) for an optimized crystal structure of Gd2HgC.

abc: 8.239 8.239 8.239
angles: 25.60 25.60 25.60
Fractional coordinates of all 4 atoms:
Gd (0.224, 0.224, 0.224)
Gd (0.776, 0.776, 0.776)
Hg (0.000, 0.000, 0.000)
C (0.500, 0.500, 0.500)

Computed properties:
The final energy is -9.79 eV per atom. The value obtained for the formation energy is -373 meV/atom.


3.
Density functional theory data (PBE) for an optimized crystal structure of HoAlW.

abc: 6.941 6.941 4.555
angles: 90.00 90.00 120.00
Fractional coordinates of all 9 atoms:
Ho (0.000, 0.430, 0.000)
Ho (0.430, 0.000, 0.000)
Ho (0.570, 0.570, 0.000)
Al (0.000, 0.000, 0.000)
Al (0.333, 0.667, 0.500)
Al (0.667, 0.333, 0.500)
W (0.000, 0.787, 0.500)
W (0.213, 0.213, 0.500)
W (0.787, 0.000, 0.500)

Computed properties:
The final energy is -7.04 eV per atom. The value obtained for the formation energy is 48 meV/atom.


4.
Density functional theory data (PBE) for an optimized crystal structure of GeSb2Pd5.

abc: 7.765 7.765 13.404
angles: 90.00 90.00 156.27
Fractional coordinates of all 16 atoms:
Ge (0.143, 0.857, 0.750)
Ge (0.857, 0.143, 0.250)
Sb (0.124, 0.876, 0.078)
Sb (0.124, 0.876, 0.422)
Sb (0.876, 0.124, 0.578)
Sb (0.876, 0.124, 0.922)
Pd (0.046, 0.954, 0.602)
Pd (0.046, 0.954, 0.898)
Pd (0.223, 0.777, 0.250)
Pd (0.232, 0.768, 0.586)
Pd (0.232, 0.768, 0.914)
Pd (0.768, 0.232, 0.086)
Pd (0.768, 0.232, 0.414)
Pd (0.777, 0.223, 0.750)
Pd (0.954, 0.046, 0.102)
Pd (0.954, 0.046, 0.398)

Computed properties:
The final energy is -5.11 eV per atom. Its energy relative to the elements, uncorrected is -0.258 eV per atom.


5.
Density functional theory data (PBE) for an optimized crystal structure of DyErMgBi.

abc: 5.409 5.409 5.409
angles: 60.00 60.00 60.00
Fractional coordinates of all 4 atoms:
Dy (0.000, 0.000, 0.000)
Er (0.500, 0.500, 0.500)
Mg (0.750, 0.750, 0.750)
Bi (0.250, 0.250, 0.250)

Computed properties:
The final energy is -3.94 eV per atom. The value obtained for the formation energy is -278 meV/atom.


6.
Density functional theory data (PBE) for an optimized crystal structure of La6AgTe5.

abc: 7.909 7.909 7.900
angles: 99.65 99.65 119.94
Fractional coordinates of all 12 atoms:
La (0.081, 0.413, 0.747)
La (0.247, 0.247, 0.249)
La (0.413, 0.081, 0.747)
La (0.587, 0.919, 0.253)
La (0.753, 0.753, 0.751)
La (0.919, 0.587, 0.253)
Ag (0.000, 0.000, 0.500)
Te (0.170, 0.830, 0.000)
Te (0.335, 0.665, 0.500)
Te (0.500, 0.500, 0.000)
Te (0.665, 0.335, 0.500)
Te (0.830, 0.170, 0.000)

Computed properties:
The final energy is -5.37 eV per atom. Its energy relative to the elements, uncorrected is -1.358 eV per atom.


7.
Density functional theory data (PBE) for an optimized crystal structure of Rb2Zr2NiSe6.

abc: 6.677 6.677 8.526
angles: 97.81 97.81 119.78
Fractional coordinates of all 11 atoms:
Rb (0.169, 0.831, 0.000)
Rb (0.831, 0.169, 0.000)
Zr (0.332, 0.668, 0.500)
Zr (0.668, 0.332, 0.500)
Ni (0.000, 0.000, 0.500)
Se (0.066, 0.385, 0.683)
Se (0.260, 0.260, 0.319)
Se (0.385, 0.066, 0.683)
Se (0.615, 0.934, 0.317)
Se (0.740, 0.740, 0.681)
Se (0.934, 0.615, 0.317)

Computed properties:
The final energy is -5.24 eV per atom. Its energy relative to the elements, uncorrected is -1.083 eV per atom.


8.
Density functional theory data (PBE) for an optimized crystal structure of Al2AgMo.

abc: 4.807 4.807 4.807
angles: 130.16 130.16 73.15
Fractional coordinates of all 4 atoms:
Al (0.250, 0.750, 0.500)
Al (0.750, 0.250, 0.500)
Ag (0.000, 0.000, 0.000)
Mo (0.500, 0.500, 0.000)

Computed properties:
The final energy is -5.24 eV per atom. The energy relative to the lowest polymorph listed for this composition comes out at 0.654 eV/f.u. The value obtained for the formation energy is 57 meV/atom.


Please write out number 7 again, unchanged.
Density functional theory data (PBE) for an optimized crystal structure of Rb2Zr2NiSe6.

abc: 6.677 6.677 8.526
angles: 97.81 97.81 119.78
Fractional coordinates of all 11 atoms:
Rb (0.169, 0.831, 0.000)
Rb (0.831, 0.169, 0.000)
Zr (0.332, 0.668, 0.500)
Zr (0.668, 0.332, 0.500)
Ni (0.000, 0.000, 0.500)
Se (0.066, 0.385, 0.683)
Se (0.260, 0.260, 0.319)
Se (0.385, 0.066, 0.683)
Se (0.615, 0.934, 0.317)
Se (0.740, 0.740, 0.681)
Se (0.934, 0.615, 0.317)

Computed properties:
The final energy is -5.24 eV per atom. Its energy relative to the elements, uncorrected is -1.083 eV per atom.